# GaH (PBE-GGA, relaxed)
# * theoretical density: 4.567 g cm⁻³
# * D(E_F): 0.098 states/eV/atom
# * VASP energy: -2.74 eV per atom
data_GaH
_cell_length_a 3.3414
_cell_length_b 3.3414
_cell_length_c 5.3194
_cell_angle_alpha 90.00
_cell_angle_beta 90.00
_cell_angle_gamma 120.00
_space_group_name_H-M_alt 'P 63 m c'
_space_group_IT_number 186
_space_group_name_Hall 'P 6c -2c'
loop_
_atom_site_label
_atom_site_fract_x
_atom_site_fract_y
_atom_site_fract_z
_atom_site_occupancy
Ga1 0.3333 0.6667 0.0000 1
H1 0.3333 0.6667 0.6209 1